Record 1
VASP calculation (PBE) on a relaxed Dy2Al9Co3 crystal.

abc: 7.415 7.415 10.283
angles: 111.33 111.33 59.57
Fractional coordinates of all 28 atoms:
Dy  0.087  0.253  0.250
Dy  0.253  0.087  0.750
Dy  0.747  0.913  0.250
Dy  0.913  0.747  0.750
Al  0.021  0.859  0.071
Al  0.141  0.979  0.429
Al  0.189  0.357  0.568
Al  0.207  0.581  0.252
Al  0.315  0.487  0.954
Al  0.357  0.189  0.068
Al  0.364  0.636  0.750
Al  0.419  0.793  0.248
Al  0.487  0.315  0.454
Al  0.513  0.685  0.546
Al  0.581  0.207  0.752
Al  0.636  0.364  0.250
Al  0.643  0.811  0.932
Al  0.685  0.513  0.046
Al  0.793  0.419  0.748
Al  0.811  0.643  0.432
Al  0.859  0.021  0.571
Al  0.979  0.141  0.929
Co  0.000  0.500  0.000
Co  0.158  0.671  0.499
Co  0.329  0.842  0.001
Co  0.500  0.000  0.500
Co  0.671  0.158  0.999
Co  0.842  0.329  0.501

Space-group type: C2/c (15)
Energy of formation in meV/atom: -562



Record 2
VASP calculation (PBE) on a relaxed BaMg6Cd4 crystal.

abc: 8.213 8.213 4.772
angles: 90.00 90.00 120.00
Fractional coordinates of all 11 atoms:
Ba  0.000  0.000  0.000
Mg  0.206  0.412  0.500
Mg  0.206  0.794  0.500
Mg  0.535  0.070  0.000
Mg  0.535  0.465  0.000
Mg  0.588  0.794  0.500
Mg  0.930  0.465  0.000
Cd  0.333  0.667  0.000
Cd  0.410  0.205  0.500
Cd  0.795  0.205  0.500
Cd  0.795  0.590  0.500

Space-group type: P-6m2 (187)
Energy of formation in meV/atom: -167



Record 3
VASP calculation (PBE) on a relaxed Rb3YBe crystal.

abc: 6.655 6.655 6.655
angles: 90.00 90.00 90.00
Fractional coordinates of all 5 atoms:
Rb  0.000  0.000  0.500
Rb  0.000  0.500  0.000
Rb  0.500  0.000  0.000
Y  0.500  0.500  0.500
Be  0.000  0.000  0.000

E above lowest polymorph in kJ/mol of formula units: 0
Space-group type: Pm-3m (221)
Energy of formation in meV/atom: 1056



Record 4
VASP calculation (PBE) on a relaxed PmNdMgTc crystal.

abc: 5.173 5.173 5.173
angles: 60.00 60.00 60.00
Fractional coordinates of all 4 atoms:
Pm  0.000  0.000  0.000
Nd  0.500  0.500  0.500
Mg  0.250  0.250  0.250
Tc  0.750  0.750  0.750

Space-group type: F-43m (216)
Energy of formation in meV/atom: 92



Record 5
VASP calculation (PBE) on a relaxed Os4RuCl crystal.

abc: 5.178 5.178 5.178
angles: 60.00 60.00 60.00
Fractional coordinates of all 6 atoms:
Os  0.125  0.125  0.125
Os  0.125  0.125  0.626
Os  0.125  0.626  0.125
Os  0.626  0.125  0.125
Ru  0.750  0.750  0.750
Cl  0.500  0.500  0.500

Formation energy without anion corrections in eV per atom: 1.427
Space-group type: F-43m (216)



Record 6
VASP calculation (PBE) on a relaxed TaCl crystal.

abc: 6.702 6.702 6.702
angles: 90.00 90.00 90.00
Fractional coordinates of all 12 atoms:
Ta  0.000  0.250  0.500
Ta  0.000  0.750  0.500
Ta  0.250  0.500  0.000
Ta  0.500  0.000  0.250
Ta  0.500  0.000  0.750
Ta  0.750  0.500  0.000
Cl  0.000  0.500  0.250
Cl  0.000  0.500  0.750
Cl  0.250  0.000  0.500
Cl  0.500  0.250  0.000
Cl  0.500  0.750  0.000
Cl  0.750  0.000  0.500

Formation energy without anion corrections in eV per atom: 1.222
Space-group type: Pm-3n (223)